Below is a geometry-optimized Y11Ho4Tm9 structure, with properties calculated at the PBE level.

abc: 16.573 25.011 3.648
angles: 90.00 90.00 90.00
Space group Cmmm (No. 65)
Symmetry-distinct sites (fractional):
Y (0.000, 0.000, 0.000) [2 per cell]
Y (0.000, 0.160, 0.000) [4 per cell]
Y (0.000, 0.367, 0.000) [4 per cell]
Y (0.208, 0.500, 0.000) [4 per cell]
Y (0.225, 0.181, 0.000) [8 per cell]
Ho (0.155, 0.399, 0.500) [8 per cell]
Tm (0.000, 0.500, 0.500) [2 per cell]
Tm (0.102, 0.267, 0.500) [8 per cell]
Tm (0.142, 0.072, 0.500) [8 per cell]

Results
- Total moment: 1.009 μB/f.u.
- Raw total energy: -5.351 eV per atom
- Density of states at the Fermi level: 1.299 states/eV per atom


Below is a geometry-optimized Y19Ho4Tm6 structure, with properties calculated at the PBE level.

abc: 12.455 12.455 12.455
angles: 90.00 90.00 90.00
Space group I23 (No. 197)
Symmetry-distinct sites (fractional):
Y (0.000, 0.000, 0.000) [2 per cell]
Y (0.000, 0.000, 0.263) [12 per cell]
Y (0.062, 0.267, 0.278) [24 per cell]
Ho (0.178, 0.178, 0.822) [8 per cell]
Tm (0.000, 0.375, 0.500) [12 per cell]

Results
- Total moment: 0.135 μB/f.u.
- Raw total energy: -5.402 eV per atom
- Density of states at the Fermi level: 1.616 states/eV per atom


Below is a geometry-optimized Y2Ho4Tm structure, with properties calculated at the PBE level.

abc: 6.209 6.462 11.413
angles: 90.00 105.51 90.00
Space group P2_1/m (No. 11)
Symmetry-distinct sites (fractional):
Y (0.114, 0.250, 0.495) [2 per cell]
Y (0.204, 0.250, 0.076) [2 per cell]
Ho (0.158, 0.004, 0.787) [4 per cell]
Ho (0.360, 0.750, 0.053) [2 per cell]
Ho (0.464, 0.750, 0.636) [2 per cell]
Tm (0.335, 0.750, 0.336) [2 per cell]

Results
- Total moment: 0.000 μB/f.u.
- Raw total energy: -4.965 eV per atom
- Density of states at the Fermi level: 1.694 states/eV per atom


Below is a geometry-optimized YHo4Tm7 structure, with properties calculated at the PBE level.

abc: 11.985 5.777 12.535
angles: 90.00 118.36 90.00
Space group C2/m (No. 12)
Symmetry-distinct sites (fractional):
Y (0.000, 0.000, 0.000) [2 per cell]
Ho (0.134, 0.500, 0.775) [4 per cell]
Ho (0.249, 0.000, 0.684) [4 per cell]
Tm (0.000, 0.500, 0.000) [2 per cell]
Tm (0.059, 0.000, 0.326) [4 per cell]
Tm (0.135, 0.500, 0.502) [4 per cell]
Tm (0.213, 0.000, 0.924) [4 per cell]

Results
- Total moment: 0.507 μB/f.u.
- Raw total energy: -4.372 eV per atom
- Density of states at the Fermi level: 1.675 states/eV per atom


Below is a geometry-optimized Y6Ho2Tm5 structure, with properties calculated at the PBE level.

abc: 11.600 20.057 3.559
angles: 90.00 90.00 90.00
Space group Pbam (No. 55)
Symmetry-distinct sites (fractional):
Y (0.058, 0.081, 0.000) [4 per cell]
Y (0.087, 0.369, 0.000) [4 per cell]
Y (0.172, 0.634, 0.500) [4 per cell]
Ho (0.163, 0.790, 0.000) [4 per cell]
Tm (0.000, 0.500, 0.500) [2 per cell]
Tm (0.093, 0.227, 0.500) [4 per cell]
Tm (0.198, 0.950, 0.500) [4 per cell]

Results
- Total moment: 0.000 μB/f.u.
- Raw total energy: -5.302 eV per atom
- Density of states at the Fermi level: 1.306 states/eV per atom


Below is a geometry-optimized YHo2Tm9 structure, with properties calculated at the PBE level.

abc: 11.0582 11.0582 3.4658
angles: 90.00 90.00 120.00
Space group P6/mmm (No. 191)
Symmetry-distinct sites (fractional):
Y (0.0000, 0.0000, 0.0000) [1 per cell]
Ho (0.3333, 0.6667, 0.0000) [2 per cell]
Tm (0.0000, 0.5000, 0.0000) [3 per cell]
Tm (0.1772, 0.3545, 0.5000) [6 per cell]

Results
- Total moment: 0.000 μB/f.u.
- Raw total energy: -4.600 eV per atom
- Density of states at the Fermi level: 1.684 states/eV per atom


Below is a geometry-optimized Y8HoTm2 structure, with properties calculated at the PBE level.

abc: 9.025 16.267 5.878
angles: 90.00 124.46 90.00
Space group C2/m (No. 12)
Symmetry-distinct sites (fractional):
Y (0.000, 0.205, 0.000) [4 per cell]
Y (0.068, 0.500, 0.792) [4 per cell]
Y (0.218, 0.120, 0.682) [8 per cell]
Ho (0.000, 0.000, 0.000) [2 per cell]
Tm (0.000, 0.309, 0.500) [4 per cell]

Results
- Total moment: 0.000 μB/f.u.
- Raw total energy: -5.768 eV per atom
- Density of states at the Fermi level: 1.618 states/eV per atom


Below is a geometry-optimized Y4Ho4Tm structure, with properties calculated at the PBE level.

abc: 10.634 10.634 4.999
angles: 90.00 90.00 90.00
Space group I4/mmm (No. 139)
Symmetry-distinct sites (fractional):
Y (0.166, 0.166, 0.000) [8 per cell]
Ho (0.000, 0.334, 0.500) [8 per cell]
Tm (0.000, 0.000, 0.500) [2 per cell]

Results
- Total moment: 0.000 μB/f.u.
- Raw total energy: -5.379 eV per atom
- Density of states at the Fermi level: 1.453 states/eV per atom